Entry from Alexandria: a geometry-optimized ZnIn4Br6 structure (PBE-GGA).

The space group is Cc (No. 9) and the conventional cell measures 16.8572, 8.4638 and 14.2410 Å, with angles of 90.00, 117.87 and 90.00 degrees. The asymmetric unit holds Zn at (0.0000, 0.2371, 0.0000), In at (0.0676, 0.3750, 0.7671), In at (0.2300, 0.1059, 0.2672), In at (0.2861, 0.4095, 0.5829), In at (0.4537, 0.2907, 0.9044), Br at (0.0116, 0.0065, 0.1101), Br at (0.1318, 0.2890, 0.3749), Br at (0.1540, 0.2917, 0.0324), Br at (0.2383, 0.2799, 0.7528), Br at (0.4138, 0.3461, 0.3141) and Br at (0.4221, 0.0454, 0.5313).

For the formation energy from raw total energies, the calculation gives -0.697 eV/atom. The calculation puts the theoretical density at 3713 kg/m³.